(1)
Compound: ErAl7Fe4
Source: Alexandria via LeMat-Bulk
Functional: PBE
Structure: optimized geometry

Cell and atoms, written as CIF:
```
data_ErAl7Fe4
_chemical_formula_sum 'Er2 Al14 Fe8'
_cell_length_a 10.907
_cell_length_b 4.718
_cell_length_c 8.983
_cell_angle_alpha 90.00
_cell_angle_beta 125.81
_cell_angle_gamma 90.00
_symmetry_space_group_name_H-M 'C 1 2/m 1'
_symmetry_Int_Tables_number 12
_symmetry_space_group_name_Hall '-C 2y'
loop_
_atom_site_label
_atom_site_fract_x
_atom_site_fract_y
_atom_site_fract_z
Er1 0.000 0.000 0.000
Al1 0.000 0.500 0.000
Al2 0.071 0.000 0.372
Al3 0.160 0.500 0.598
Al4 0.219 0.000 0.869
Fe1 0.070 0.500 0.789
Fe2 0.185 0.500 0.338
```

volume: 15.620 Å³/atom
ΔE_f: 35 meV/atom
total magnetic moment: 0.500 μB per atom



(2)
Compound: Pu5Cr2S12
Source: Alexandria via LeMat-Bulk
Functional: PBE
Structure: optimized geometry

Cell and atoms, written as CIF:
```
data_Pu5Cr2S12
_chemical_formula_sum 'Pu10 Cr4 S24'
_cell_length_a 15.010
_cell_length_b 6.887
_cell_length_c 8.459
_cell_angle_alpha 90.00
_cell_angle_beta 106.56
_cell_angle_gamma 90.00
_symmetry_space_group_name_H-M 'C 1 2/m 1'
_symmetry_Int_Tables_number 12
_symmetry_space_group_name_Hall '-C 2y'
loop_
_atom_site_label
_atom_site_fract_x
_atom_site_fract_y
_atom_site_fract_z
Pu1 0.000 0.000 0.000
Pu2 0.184 0.500 0.343
Pu3 0.197 0.500 0.848
Cr1 0.000 0.250 0.500
S1 0.001 0.000 0.313
S2 0.004 0.500 0.704
S3 0.150 0.250 0.071
S4 0.166 0.252 0.586
```

volume: 22.056 Å³/atom
energy relative to the elements, uncorrected: -1.317 eV/atom
total magnetic moment: 1.474 μB per atom



(3)
Compound: LaIn2Ag
Source: Alexandria via LeMat-Bulk
Functional: PBE
Structure: optimized geometry

Cell and atoms, written as CIF:
```
data_LaIn2Ag
_chemical_formula_sum 'La1 In2 Ag1'
_cell_length_a 3.414
_cell_length_b 4.972
_cell_length_c 6.261
_cell_angle_alpha 90.00
_cell_angle_beta 90.07
_cell_angle_gamma 90.00
_symmetry_space_group_name_H-M 'P 1 m 1'
_symmetry_Int_Tables_number 6
_symmetry_space_group_name_Hall 'P -2y'
loop_
_atom_site_label
_atom_site_fract_x
_atom_site_fract_y
_atom_site_fract_z
La1 0.000 0.000 0.000
In1 0.499 0.000 0.515
In2 0.501 0.500 0.249
Ag1 0.500 0.500 0.759
```

volume: 26.574 Å³/atom
ΔE_f: -276 meV/atom
total magnetic moment: 0.034 μB per atom



(4)
Compound: DyCuHgPd
Source: Alexandria via LeMat-Bulk
Functional: PBE
Structure: optimized geometry

Cell and atoms, written as CIF:
```
data_DyCuHgPd
_chemical_formula_sum 'Dy4 Cu4 Hg4 Pd4'
_cell_length_a 6.742
_cell_length_b 6.742
_cell_length_c 6.742
_cell_angle_alpha 90.00
_cell_angle_beta 90.00
_cell_angle_gamma 90.00
_symmetry_space_group_name_H-M 'F -4 3 m'
_symmetry_Int_Tables_number 216
_symmetry_space_group_name_Hall 'F -4 2 3'
loop_
_atom_site_label
_atom_site_fract_x
_atom_site_fract_y
_atom_site_fract_z
Dy1 0.000 0.000 0.000
Cu1 0.250 0.250 0.250
Hg1 0.000 0.000 0.500
Pd1 0.250 0.250 0.750
```

volume: 19.154 Å³/atom
ΔE_f: -423 meV/atom
total magnetic moment: 0.000 μB per atom



(5)
Compound: Sm2Ni4As3Pd
Source: Alexandria via LeMat-Bulk
Functional: PBE
Structure: optimized geometry

Cell and atoms, written as CIF:
```
data_Sm2Ni4As3Pd
_chemical_formula_sum 'Sm2 Ni4 As3 Pd1'
_cell_length_a 4.103
_cell_length_b 4.103
_cell_length_c 9.845
_cell_angle_alpha 90.00
_cell_angle_beta 90.00
_cell_angle_gamma 90.00
_symmetry_space_group_name_H-M 'P -4 m 2'
_symmetry_Int_Tables_number 115
_symmetry_space_group_name_Hall 'P -4 -2'
loop_
_atom_site_label
_atom_site_fract_x
_atom_site_fract_y
_atom_site_fract_z
Sm1 0.000 0.500 0.247
Ni1 0.000 0.000 0.000
Ni2 0.000 0.500 0.637
Ni3 0.500 0.500 0.000
As1 0.000 0.500 0.871
As2 0.500 0.500 0.500
Pd1 0.000 0.000 0.500
```

volume: 16.575 Å³/atom
ΔE_f: -749 meV/atom
total magnetic moment: 0.000 μB per atom



(6)
Compound: La2PmUAs4
Source: Alexandria via LeMat-Bulk
Functional: PBE
Structure: optimized geometry

Cell and atoms, written as CIF:
```
data_La2PmUAs4
_chemical_formula_sum 'La2 Pm1 U1 As4'
_cell_length_a 7.374
_cell_length_b 4.246
_cell_length_c 7.402
_cell_angle_alpha 90.00
_cell_angle_beta 109.17
_cell_angle_gamma 90.00
_symmetry_space_group_name_H-M 'P 1 2/m 1'
_symmetry_Int_Tables_number 10
_symmetry_space_group_name_Hall '-P 2y'
loop_
_atom_site_label
_atom_site_fract_x
_atom_site_fract_y
_atom_site_fract_z
La1 0.000 0.000 0.000
La2 0.500 0.500 0.000
Pm1 0.000 0.500 0.500
U1 0.500 0.000 0.500
As1 0.254 0.000 0.737
As2 0.262 0.500 0.266
```

volume: 27.366 Å³/atom
ΔE_f: -1337 meV/atom
total magnetic moment: 0.288 μB per atom